# 1
The following is a DFT calculation (PBE) of crystalline Nd2Ga4Ag3 at its relaxed geometry.

Cell: 5.934 15.969 7.885 Å, 90.00 90.00 90.00°
Space group Cmce (No. 64)
Symmetry-distinct sites (fractional):
Nd  0.000  0.106  0.093 (multiplicity 8)
Ga  0.000  0.174  0.481 (multiplicity 8)
Ga  0.250  0.062  0.750 (multiplicity 8)
Ag  0.000  0.000  0.500 (multiplicity 4)
Ag  0.250  0.229  0.750 (multiplicity 8)

Calculated total energy (eV/f.u.): -33.59


# 2
The following is a DFT calculation (PBE) of crystalline KZnGaSb2 at its relaxed geometry.

Cell: 13.777 4.430 10.562 Å, 90.00 98.20 90.00°
Space group C2/m (No. 12)
Symmetry-distinct sites (fractional):
K  0.161  0.000  0.176 (multiplicity 4)
Zn  0.171  0.000  0.591 (multiplicity 4)
Ga  0.049  0.500  0.694 (multiplicity 4)
Sb  0.117  0.000  0.830 (multiplicity 4)
Sb  0.131  0.500  0.444 (multiplicity 4)

Calculated total energy (eV/f.u.): -14.82
Uncorrected formation energy (meV per atom): -236


# 3
The following is a DFT calculation (PBE) of crystalline Sm3Dy2Y at its relaxed geometry.

Cell: 9.673 3.562 11.575 Å, 90.00 93.95 90.00°
Space group P2_1/m (No. 11)
Symmetry-distinct sites (fractional):
Sm  0.076  0.250  0.119 (multiplicity 2)
Sm  0.239  0.250  0.860 (multiplicity 2)
Sm  0.401  0.250  0.603 (multiplicity 2)
Dy  0.082  0.750  0.621 (multiplicity 2)
Dy  0.442  0.250  0.143 (multiplicity 2)
Y  0.242  0.750  0.355 (multiplicity 2)

Calculated total energy (eV/f.u.): -29.40
Polymorph energy (0 for the lowest one) (kJ/mol of atoms): 0.0


# 4
The following is a DFT calculation (PBE) of crystalline Dy2ErAg at its relaxed geometry.

Cell: 3.5297 3.5297 31.3710 Å, 90.00 90.00 120.00°
Space group R-3m (No. 166, hexagonal axes)
Symmetry-distinct sites (fractional):
Dy  0.0000  0.0000  0.2422 (multiplicity 6)
Er  0.0000  0.0000  0.0000 (multiplicity 3)
Ag  0.0000  0.0000  0.5000 (multiplicity 3)

Calculated total energy (eV/f.u.): -16.70
Polymorph energy (0 for the lowest one) (kJ/mol of atoms): 10.4


# 5
The following is a DFT calculation (PBE) of crystalline Na3Tl2In at its relaxed geometry.

Cell: 10.578 10.923 6.390 Å, 90.00 90.00 90.00°
Space group Cmcm (No. 63)
Symmetry-distinct sites (fractional):
Na  0.000  0.112  0.250 (multiplicity 4)
Na  0.161  0.254  0.750 (multiplicity 8)
Tl  0.247  0.000  0.000 (multiplicity 8)
In  0.000  0.421  0.250 (multiplicity 4)

Calculated total energy (eV/f.u.): -11.81
Polymorph energy (0 for the lowest one) (kJ/mol of atoms): 2.5


# 6
The following is a DFT calculation (PBE) of crystalline Pm3Sm2Er4 at its relaxed geometry.

Cell: 16.536 11.642 6.106 Å, 90.00 96.93 90.00°
Space group C2/c (No. 15)
Symmetry-distinct sites (fractional):
Pm  0.000  0.145  0.250 (multiplicity 4)
Pm  0.164  0.351  0.086 (multiplicity 8)
Sm  0.107  0.118  0.783 (multiplicity 8)
Er  0.060  0.389  0.542 (multiplicity 8)
Er  0.232  0.112  0.371 (multiplicity 8)

Calculated total energy (eV/f.u.): -41.06
Polymorph energy (0 for the lowest one) (kJ/mol of atoms): 7.7


# 7
The following is a DFT calculation (PBE) of crystalline MgTa2Se at its relaxed geometry.

Cell: 3.969 3.969 9.433 Å, 90.00 90.00 90.00°
Space group I4/mmm (No. 139)
Symmetry-distinct sites (fractional):
Mg  0.000  0.000  0.000 (multiplicity 2)
Ta  0.000  0.500  0.250 (multiplicity 4)
Se  0.000  0.000  0.500 (multiplicity 2)

Calculated total energy (eV/f.u.): -27.53
Polymorph energy (0 for the lowest one) (kJ/mol of atoms): 31.6
Uncorrected formation energy (meV per atom): 313


# 8
The following is a DFT calculation (PBE) of crystalline BaRe2As at its relaxed geometry.

Cell: 3.268 5.204 9.293 Å, 90.00 90.00 90.00°
Space group Cmmm (No. 65)
Symmetry-distinct sites (fractional):
Ba  0.000  0.000  0.000 (multiplicity 2)
Re  0.000  0.500  0.302 (multiplicity 4)
As  0.000  0.000  0.500 (multiplicity 2)

Calculated total energy (eV/f.u.): -26.96


# 9
The following is a DFT calculation (PBE) of crystalline LiMg2Re at its relaxed geometry.

Cell: 2.728 2.728 9.299 Å, 90.00 90.00 90.00°
Space group P4mm (No. 99)
Symmetry-distinct sites (fractional):
Li  0.000  0.000  0.000 (multiplicity 1)
Mg  0.000  0.000  0.542 (multiplicity 1)
Mg  0.500  0.500  0.263 (multiplicity 1)
Re  0.500  0.500  0.773 (multiplicity 1)

Calculated total energy (eV/f.u.): -16.41
Polymorph energy (0 for the lowest one) (kJ/mol of atoms): 10.0


# 10
The following is a DFT calculation (PBE) of crystalline PrS8 at its relaxed geometry.

Cell: 10.783 10.783 4.608 Å, 90.00 90.00 90.00°
Space group I4/mmm (No. 139)
Symmetry-distinct sites (fractional):
Pr  0.000  0.000  0.000 (multiplicity 2)
S  0.000  0.407  0.000 (multiplicity 8)
S  0.115  0.115  0.500 (multiplicity 8)

Calculated total energy (eV/f.u.): -36.13
Uncorrected formation energy (meV per atom): 185


# 11
The following is a DFT calculation (PBE) of crystalline YThCuRh at its relaxed geometry.

Cell: 7.061 7.061 7.061 Å, 90.00 90.00 90.00°
Space group F-43m (No. 216)
Symmetry-distinct sites (fractional):
Y  0.000  0.000  0.000 (multiplicity 4)
Th  0.000  0.000  0.500 (multiplicity 4)
Cu  0.250  0.250  0.250 (multiplicity 4)
Rh  0.250  0.250  0.750 (multiplicity 4)

Calculated total energy (eV/f.u.): -27.25
Polymorph energy (0 for the lowest one) (kJ/mol of atoms): 11.9


# 12
The following is a DFT calculation (PBE) of crystalline Na2Hg2Pd3 at its relaxed geometry.

Cell: 10.158 4.592 7.257 Å, 90.00 117.46 90.00°
Space group C2/m (No. 12)
Symmetry-distinct sites (fractional):
Na  0.164  0.000  0.303 (multiplicity 4)
Hg  0.118  0.500  0.928 (multiplicity 4)
Pd  0.000  0.500  0.500 (multiplicity 2)
Pd  0.123  0.000  0.700 (multiplicity 4)

Calculated total energy (eV/f.u.): -20.21
Polymorph energy (0 for the lowest one) (kJ/mol of atoms): 0.0


# 13
The following is a DFT calculation (PBE) of crystalline Rb2ZnAgBr6 at its relaxed geometry.

Cell: 8.039 7.603 13.251 Å, 90.00 125.39 90.00°
Space group P2_1/c (No. 14)
Symmetry-distinct sites (fractional):
Rb  0.249  0.020  0.252 (multiplicity 4)
Zn  0.500  0.000  0.000 (multiplicity 2)
Ag  0.000  0.000  0.500 (multiplicity 2)
Br  0.181  0.014  0.741 (multiplicity 4)
Br  0.243  0.738  0.529 (multiplicity 4)
Br  0.340  0.240  0.028 (multiplicity 4)

Calculated total energy (eV/f.u.): -26.00
Polymorph energy (0 for the lowest one) (kJ/mol of atoms): 0.0
Uncorrected formation energy (meV per atom): -991


# 14
The following is a DFT calculation (PBE) of crystalline MgCd14Ga at its relaxed geometry.

Cell: 11.039 6.004 10.734 Å, 90.00 90.00 90.00°
Space group Amm2 (No. 38)
Symmetry-distinct sites (fractional):
Mg  0.000  0.000  0.000 (multiplicity 2)
Cd  0.000  0.248  0.749 (multiplicity 4)
Cd  0.246  0.000  0.181 (multiplicity 4)
Cd  0.247  0.249  0.433 (multiplicity 8)
Cd  0.254  0.000  0.684 (multiplicity 4)
Cd  0.500  0.000  0.365 (multiplicity 2)
Cd  0.500  0.000  0.866 (multiplicity 2)
Cd  0.500  0.248  0.115 (multiplicity 4)
Ga  0.000  0.000  0.498 (multiplicity 2)

Calculated total energy (eV/f.u.): -17.57


# 15
The following is a DFT calculation (PBE) of crystalline SmYTe at its relaxed geometry.

Cell: 4.075 15.630 6.156 Å, 90.00 90.00 90.00°
Space group Cmcm (No. 63)
Symmetry-distinct sites (fractional):
Sm  0.000  0.142  0.250 (multiplicity 4)
Y  0.000  0.445  0.250 (multiplicity 4)
Te  0.000  0.201  0.750 (multiplicity 4)

Calculated total energy (eV/f.u.): -16.78
Polymorph energy (0 for the lowest one) (kJ/mol of atoms): 0.0
Uncorrected formation energy (meV per atom): -820


# 16
The following is a DFT calculation (PBE) of crystalline Th2ReBi at its relaxed geometry.

Cell: 3.457 3.457 9.075 Å, 90.00 90.00 90.00°
Space group P4/mmm (No. 123)
Symmetry-distinct sites (fractional):
Th  0.000  0.000  0.201 (multiplicity 2)
Re  0.500  0.500  0.000 (multiplicity 1)
Bi  0.500  0.500  0.500 (multiplicity 1)

Calculated total energy (eV/f.u.): -32.06
Polymorph energy (0 for the lowest one) (kJ/mol of atoms): 0.0


# 17
The following is a DFT calculation (PBE) of crystalline ReAg2Se at its relaxed geometry.

Cell: 3.824 3.824 4.768 Å, 90.00 90.00 90.00°
Space group P4/mmm (No. 123)
Symmetry-distinct sites (fractional):
Re  0.000  0.000  0.000 (multiplicity 1)
Ag  0.000  0.500  0.500 (multiplicity 2)
Se  0.500  0.500  0.000 (multiplicity 1)

Calculated total energy (eV/f.u.): -18.18
Uncorrected formation energy (meV per atom): 863


# 18
The following is a DFT calculation (PBE) of crystalline Si2HgRu at its relaxed geometry.

Cell: 3.028 3.028 7.575 Å, 90.00 90.00 90.00°
Space group P4mm (No. 99)
Symmetry-distinct sites (fractional):
Si  0.000  0.000  0.000 (multiplicity 1)
Si  0.500  0.500  0.197 (multiplicity 1)
Hg  0.000  0.000  0.566 (multiplicity 1)
Ru  0.500  0.500  0.852 (multiplicity 1)

Calculated total energy (eV/f.u.): -19.98
Uncorrected formation energy (meV per atom): 112


# 19
The following is a DFT calculation (PBE) of crystalline Cr2CoHg at its relaxed geometry.

Cell: 6.167 6.167 6.167 Å, 90.00 90.00 90.00°
Space group F-43m (No. 216)
Symmetry-distinct sites (fractional):
Cr  0.000  0.000  0.000 (multiplicity 4)
Cr  0.250  0.250  0.250 (multiplicity 4)
Co  0.250  0.250  0.750 (multiplicity 4)
Hg  0.000  0.000  0.500 (multiplicity 4)

Calculated total energy (eV/f.u.): -24.62


# 20
The following is a DFT calculation (PBE) of crystalline Rb3SnO at its relaxed geometry.

Cell: 6.909 6.909 6.909 Å, 90.00 90.00 90.00°
Space group Pm-3m (No. 221)
Symmetry-distinct sites (fractional):
Rb  0.000  0.000  0.500 (multiplicity 3)
Sn  0.000  0.000  0.000 (multiplicity 1)
O  0.500  0.500  0.500 (multiplicity 1)

Calculated total energy (eV/f.u.): -9.84
Uncorrected formation energy (meV per atom): 404


# 21
The following is a DFT calculation (PBE) of crystalline Tl2TcI4Cl2 at its relaxed geometry.

Cell: 12.783 8.038 8.062 Å, 90.00 129.04 90.00°
Space group C2/m (No. 12)
Symmetry-distinct sites (fractional):
Tl  0.250  0.000  0.203 (multiplicity 4)
Tc  0.000  0.000  0.500 (multiplicity 2)
I  0.028  0.242  0.289 (multiplicity 8)
Cl  0.235  0.000  0.780 (multiplicity 4)

Calculated total energy (eV/f.u.): -29.69
Uncorrected formation energy (meV per atom): -522


# 22
The following is a DFT calculation (PBE) of crystalline Cs3Th3USe8 at its relaxed geometry.

Cell: 8.5333 8.5333 25.9530 Å, 90.00 90.00 120.00°
Space group R-3m (No. 166, hexagonal axes)
Symmetry-distinct sites (fractional):
Cs  0.0000  0.5000  0.0000 (multiplicity 9)
Th  0.0000  0.5000  0.5000 (multiplicity 9)
U  0.0000  0.0000  0.5000 (multiplicity 3)
Se  0.0000  0.0000  0.2317 (multiplicity 6)
Se  0.0009  0.5004  0.2295 (multiplicity 18)

Calculated total energy (eV/f.u.): -86.42
Uncorrected formation energy (meV per atom): -1495


# 23
The following is a DFT calculation (PBE) of crystalline MgZn2Ir2 at its relaxed geometry.

Cell: 7.148 7.148 3.062 Å, 90.00 90.00 90.00°
Space group P4/mbm (No. 127)
Symmetry-distinct sites (fractional):
Mg  0.000  0.000  0.000 (multiplicity 2)
Zn  0.163  0.337  0.500 (multiplicity 4)
Ir  0.135  0.635  0.000 (multiplicity 4)

Calculated total energy (eV/f.u.): -22.68
Polymorph energy (0 for the lowest one) (kJ/mol of atoms): 0.9